Below is a relaxed structure of GaP2PbO8, with properties calculated at the GGA-PBE level. Values from VASP.

E_form (uncorrected) = -21.95 eV/f.u.

Structure (Quantum ESPRESSO input):
```
&SYSTEM
  ibrav = 0, nat = 12, ntyp = 4
/
ATOMIC_SPECIES
Ga 69.72 Ga.upf
P 30.97 P.upf
Pb 207.20 Pb.upf
O 16.00 O.upf
ATOMIC_POSITIONS crystal
Ga 0.000 0.000 0.000
P 0.259 0.259 0.222
P 0.741 0.741 0.778
Pb 0.500 0.500 0.500
O 0.188 0.188 0.437
O 0.598 0.253 0.163
O 0.812 0.812 0.563
O 0.987 0.598 0.163
O 0.013 0.402 0.837
O 0.253 0.987 0.163
O 0.747 0.013 0.837
O 0.402 0.747 0.837
CELL_PARAMETERS angstrom
4.836 0.000 0.000
2.418 4.189 0.000
2.418 1.396 7.303
```